[1]
The following is a DFT calculation (PBE-GGA) of a relaxed structure of La2CoTe.

Results
M_tot   0.0 μB/f.u.
Uncorrected formation energy   -551 meV per atom

Geometry as CIF:
```
data_La2CoTe
_cell_length_a 7.736
_cell_length_b 7.736
_cell_length_c 7.874
_cell_angle_alpha 90.00
_cell_angle_beta 90.00
_cell_angle_gamma 90.00
_space_group_name_H-M_alt 'I -4 2 d'
_space_group_IT_number 122
_space_group_name_Hall 'I -4 2bw'
loop_
_atom_site_label
_atom_site_fract_x
_atom_site_fract_y
_atom_site_fract_z
La1 0.183 0.250 0.125
Co1 0.000 0.000 0.000
Te1 0.000 0.000 0.500
```

[2]
The following is a DFT calculation (PBE-GGA) of a relaxed structure of La2TlCoTe.

Results
M_tot   0.0 μB/f.u.
Uncorrected formation energy   -642 meV per atom

Geometry as CIF:
```
data_La2TlCoTe
_cell_length_a 5.333
_cell_length_b 5.333
_cell_length_c 4.980
_cell_angle_alpha 90.00
_cell_angle_beta 90.00
_cell_angle_gamma 90.00
_space_group_name_H-M_alt 'P 4/m m m'
_space_group_IT_number 123
_space_group_name_Hall '-P 4 2'
loop_
_atom_site_label
_atom_site_fract_x
_atom_site_fract_y
_atom_site_fract_z
La1 0.000 0.500 0.000
Tl1 0.000 0.000 0.500
Co1 0.000 0.000 0.000
Te1 0.500 0.500 0.500
```

[3]
The following is a DFT calculation (PBE-GGA) of a relaxed structure of LaTl2CoTe.

Results
M_tot   0.0 μB/f.u.
Uncorrected formation energy   -494 meV per atom

Geometry as CIF:
```
data_LaTl2CoTe
_cell_length_a 5.099
_cell_length_b 5.099
_cell_length_c 5.169
_cell_angle_alpha 90.00
_cell_angle_beta 90.00
_cell_angle_gamma 90.00
_space_group_name_H-M_alt 'P 4/m m m'
_space_group_IT_number 123
_space_group_name_Hall '-P 4 2'
loop_
_atom_site_label
_atom_site_fract_x
_atom_site_fract_y
_atom_site_fract_z
La1 0.000 0.000 0.000
Tl1 0.000 0.500 0.500
Co1 0.000 0.000 0.500
Te1 0.500 0.500 0.000
```

[4]
The following is a DFT calculation (PBE-GGA) of a relaxed structure of La2YCoTe.

Results
M_tot   0.0 μB/f.u.
Uncorrected formation energy   -523 meV per atom

Geometry as CIF:
```
data_La2YCoTe
_cell_length_a 5.143
_cell_length_b 5.143
_cell_length_c 5.479
_cell_angle_alpha 90.00
_cell_angle_beta 90.00
_cell_angle_gamma 90.00
_space_group_name_H-M_alt 'P 4/m m m'
_space_group_IT_number 123
_space_group_name_Hall '-P 4 2'
loop_
_atom_site_label
_atom_site_fract_x
_atom_site_fract_y
_atom_site_fract_z
La1 0.000 0.500 0.000
Y1 0.000 0.000 0.500
Co1 0.000 0.000 0.000
Te1 0.500 0.500 0.500
```

[5]
The following is a DFT calculation (PBE-GGA) of a relaxed structure of LaZnCo2Te.

Results
M_tot   0.0 μB/f.u.
Uncorrected formation energy   1130 meV per atom

Geometry as CIF:
```
data_LaZnCo2Te
_cell_length_a 4.501
_cell_length_b 4.501
_cell_length_c 6.402
_cell_angle_alpha 90.00
_cell_angle_beta 90.00
_cell_angle_gamma 90.00
_space_group_name_H-M_alt 'P 4/m m m'
_space_group_IT_number 123
_space_group_name_Hall '-P 4 2'
loop_
_atom_site_label
_atom_site_fract_x
_atom_site_fract_y
_atom_site_fract_z
La1 0.000 0.000 0.000
Zn1 0.500 0.500 0.500
Co1 0.000 0.500 0.000
Te1 0.000 0.000 0.500
```

[6]
The following is a DFT calculation (PBE-GGA) of a relaxed structure of La2Th3Co2.

Results
M_tot   0.0 μB/f.u.
DFT formation energy   -0.193 eV/atom

Geometry as CIF:
```
data_La2Th3Co2
_cell_length_a 12.012
_cell_length_b 3.733
_cell_length_c 9.015
_cell_angle_alpha 90.00
_cell_angle_beta 111.37
_cell_angle_gamma 90.00
_space_group_name_H-M_alt 'C 1 2/m 1'
_space_group_IT_number 12
loop_
_space_group_symop_operation_xyz
'x,y,z'
'-x,-y,-z'
'-x,y,-z'
'x,-y,z'
'x+1/2,y+1/2,z'
'-x+1/2,-y+1/2,-z'
'-x+1/2,y+1/2,-z'
'x+1/2,-y+1/2,z'
loop_
_atom_site_label
_atom_site_fract_x
_atom_site_fract_y
_atom_site_fract_z
La1 0.168 0.000 0.296
Th1 0.000 0.500 0.500
Th2 0.120 0.500 0.927
Co1 0.125 0.000 0.714
```

[7]
The following is a DFT calculation (PBE-GGA) of a relaxed structure of La3ThCo.

Results
M_tot   0.0 μB/f.u.
DFT formation energy   0.144 eV/atom

Geometry as CIF:
```
data_La3ThCo
_cell_length_a 5.443
_cell_length_b 5.443
_cell_length_c 5.443
_cell_angle_alpha 90.00
_cell_angle_beta 90.00
_cell_angle_gamma 90.00
_space_group_name_H-M_alt 'P m -3 m'
_space_group_IT_number 221
_space_group_name_Hall '-P 4 2 3'
loop_
_atom_site_label
_atom_site_fract_x
_atom_site_fract_y
_atom_site_fract_z
La1 0.000 0.000 0.500
Th1 0.500 0.500 0.500
Co1 0.000 0.000 0.000
```

[8]
The following is a DFT calculation (PBE-GGA) of a relaxed structure of LaTh3Co.

Results
M_tot   0.0 μB/f.u.
DFT formation energy   0.000 eV/atom

Geometry as CIF:
```
data_LaTh3Co
_cell_length_a 5.381
_cell_length_b 5.381
_cell_length_c 5.381
_cell_angle_alpha 90.00
_cell_angle_beta 90.00
_cell_angle_gamma 90.00
_space_group_name_H-M_alt 'P m -3 m'
_space_group_IT_number 221
_space_group_name_Hall '-P 4 2 3'
loop_
_atom_site_label
_atom_site_fract_x
_atom_site_fract_y
_atom_site_fract_z
La1 0.000 0.000 0.000
Th1 0.000 0.500 0.500
Co1 0.500 0.500 0.500
```

[9]
The following is a DFT calculation (PBE-GGA) of a relaxed structure of LaThCo2.

Results
M_tot   0.0 μB/f.u.
DFT formation energy   -0.200 eV/atom
Polymorph energy (0 for the lowest one)   0 meV per atom

Geometry as CIF:
```
data_LaThCo2
_cell_length_a 5.435
_cell_length_b 5.455
_cell_length_c 11.670
_cell_angle_alpha 90.00
_cell_angle_beta 103.78
_cell_angle_gamma 90.00
_space_group_name_H-M_alt 'P 1 2/c 1'
_space_group_IT_number 13
loop_
_space_group_symop_operation_xyz
'x,y,z'
'-x,-y,-z'
'-x,y,-z+1/2'
'x,-y,z+1/2'
loop_
_atom_site_label
_atom_site_fract_x
_atom_site_fract_y
_atom_site_fract_z
La1 0.191 0.126 0.137
Th1 0.308 0.372 0.867
Co1 0.172 0.379 0.592
Co2 0.340 0.138 0.422
```

[10]
The following is a DFT calculation (PBE-GGA) of a relaxed structure of La2ThCo9.

Results
M_tot   8.8 μB/f.u.
DFT formation energy   -0.093 eV/atom

Geometry as CIF:
```
data_La2ThCo9
_cell_length_a 4.9910
_cell_length_b 4.9910
_cell_length_c 25.4940
_cell_angle_alpha 90.00
_cell_angle_beta 90.00
_cell_angle_gamma 120.00
_space_group_name_H-M_alt 'R -3 m'
_space_group_IT_number 166
_space_group_name_Hall '-R 3 2"'
loop_
_atom_site_label
_atom_site_fract_x
_atom_site_fract_y
_atom_site_fract_z
La1 0.0000 0.0000 0.1399
Th1 0.0000 0.0000 0.0000
Co1 0.0000 0.0000 0.3325
Co2 0.0000 0.0000 0.5000
Co3 0.0032 0.5016 0.0783
```

[11]
The following is a DFT calculation (PBE-GGA) of a relaxed structure of LaThCo2.

Results
M_tot   0.0 μB/f.u.
DFT formation energy   -0.157 eV/atom
Polymorph energy (0 for the lowest one)   44 meV per atom

Geometry as CIF:
```
data_LaThCo2
_cell_length_a 7.576
_cell_length_b 4.658
_cell_length_c 9.814
_cell_angle_alpha 90.00
_cell_angle_beta 90.00
_cell_angle_gamma 90.00
_space_group_name_H-M_alt 'P n m a'
_space_group_IT_number 62
loop_
_space_group_symop_operation_xyz
'x,y,z'
'-x,-y,-z'
'-x+1/2,-y,z+1/2'
'x+1/2,y,-z+1/2'
'x+1/2,-y+1/2,-z+1/2'
'-x+1/2,y+1/2,z+1/2'
'-x,y+1/2,-z'
'x,-y+1/2,z'
loop_
_atom_site_label
_atom_site_fract_x
_atom_site_fract_y
_atom_site_fract_z
La1 0.088 0.250 0.123
Th1 0.062 0.250 0.626
Co1 0.195 0.250 0.395
Co2 0.207 0.250 0.855
```

[12]
The following is a DFT calculation (PBE-GGA) of a relaxed structure of LaThCo2.

Results
M_tot   0.0 μB/f.u.
DFT formation energy   -0.096 eV/atom
Polymorph energy (0 for the lowest one)   105 meV per atom

Geometry as CIF:
```
data_LaThCo2
_cell_length_a 3.462
_cell_length_b 3.462
_cell_length_c 7.036
_cell_angle_alpha 90.00
_cell_angle_beta 90.00
_cell_angle_gamma 90.00
_space_group_name_H-M_alt 'P 4/m m m'
_space_group_IT_number 123
_space_group_name_Hall '-P 4 2'
loop_
_atom_site_label
_atom_site_fract_x
_atom_site_fract_y
_atom_site_fract_z
La1 0.000 0.000 0.000
Th1 0.000 0.000 0.500
Co1 0.500 0.500 0.294
```

What did the eighth record say?
The following is a DFT calculation (PBE-GGA) of a relaxed structure of LaTh3Co.

Results
M_tot   0.0 μB/f.u.
DFT formation energy   0.000 eV/atom

Geometry as CIF:
```
data_LaTh3Co
_cell_length_a 5.381
_cell_length_b 5.381
_cell_length_c 5.381
_cell_angle_alpha 90.00
_cell_angle_beta 90.00
_cell_angle_gamma 90.00
_space_group_name_H-M_alt 'P m -3 m'
_space_group_IT_number 221
_space_group_name_Hall '-P 4 2 3'
loop_
_atom_site_label
_atom_site_fract_x
_atom_site_fract_y
_atom_site_fract_z
La1 0.000 0.000 0.000
Th1 0.000 0.500 0.500
Co1 0.500 0.500 0.500
```